BeCoN2F | PBE with a Hubbard U | relaxed

a = 3.613 Å, b = 3.613 Å, c = 4.040 Å
α = 90.00°, β = 90.00°, γ = 90.00°
Last column: magnetic moment on the atom in μB.
Fractional coordinates of all 5 atoms:
Be 0.500 0.500 0.500  0.01
N 0.000 0.500 0.000  0.35
N 0.500 0.000 0.000  0.35
Co 0.000 0.000 0.000  2.07
F 0.000 0.000 0.500  0.10

Summary:
excess energy over the best structure of this formula in the dataset: 429 meV per atom
space-group type: P4/mmm (123)
Fermi-level density of states: 2.46 states/eV/cell